1.
VASP calculation (PBE) on a relaxed structure of BeCr2Ru.

Unit cell a=2.5991 b=3.7586 c=4.7376 alpha=90.00 beta=90.00 gamma=90.00
Sites, in units of the cell vectors:
1 Ru 0.5000 0.5000 0.2500
2 Be 0.5000 0.5000 0.7500
3 Cr 0.0000 0.0000 0.9813
4 Cr 0.0000 0.0000 0.5187

Values from the calculation:
DFT total energy (hartree per atom): -0.29457
Crystal system: orthorhombic
Total magnetization (μB/f.u.): 0.0
Fermi-level density of states (states/eV/cell): 4.24
Energy of formation from the pure elements (eV per atom): 0.0466
SG: Pmmm

***

2.
VASP calculation (PBE) on a relaxed structure of Sc2Be2CrRu5.

Unit cell a=3.1196 b=9.3544 c=9.3544 alpha=90.00 beta=90.00 gamma=90.00
Sites, in units of the cell vectors:
1 Sc 0.0000 0.6724 0.1724
2 Sc 0.0000 0.3276 0.8276
3 Sc 0.0000 0.1724 0.3276
4 Sc 0.0000 0.8276 0.6724
5 Be 0.0000 0.1249 0.6249
6 Be 0.0000 0.8751 0.3751
7 Be 0.0000 0.6249 0.8751
8 Be 0.0000 0.3751 0.1249
9 Cr 0.0000 0.0000 0.0000
10 Cr 0.0000 0.5000 0.5000
11 Ru 0.5000 0.2020 0.0689
12 Ru 0.5000 0.7980 0.9311
13 Ru 0.5000 0.0689 0.7980
14 Ru 0.5000 0.7020 0.4311
15 Ru 0.5000 0.9311 0.2020
16 Ru 0.5000 0.2980 0.5689
17 Ru 0.5000 0.5689 0.7020
18 Ru 0.5000 0.4311 0.2980
19 Ru 0.5000 0.5000 0.0000
20 Ru 0.5000 0.0000 0.5000

Values from the calculation:
DFT total energy (hartree per atom): -0.29192
Crystal system: tetragonal
Total magnetization (μB/f.u.): 0.0
Fermi-level density of states (states/eV/cell): 16.77
Energy of formation from the pure elements (eV per atom): -0.3316
SG: P4/mbm

***

3.
VASP calculation (PBE) on a relaxed structure of Be2CrRuSe.

Unit cell a=4.0997 b=4.5130 c=4.0997 alpha=90.00 beta=90.00 gamma=90.00
Each line ends with the local moment (μB).
Sites, in units of the cell vectors:
1 Ru 0.5000 0.5000 0.5000  0.18
2 Be 0.0000 0.0000 0.5000  -0.02
3 Be 0.5000 0.0000 0.0000  -0.02
4 Se 0.0000 0.0000 0.0000  -0.01
5 Cr 0.0000 0.5000 0.0000  2.85

Values from the calculation:
DFT total energy (hartree per atom): -0.17934
Crystal system: tetragonal
Total magnetization (μB/f.u.): 3.1
Fermi-level density of states (states/eV/cell): 3.45
SG: P4/mmm

***

4.
VASP calculation (PBE) on a relaxed structure of Be2Cr2SiRu5.

Unit cell a=2.9635 b=9.1558 c=9.1558 alpha=90.00 beta=90.00 gamma=90.00
Each line ends with the local moment (μB).
Sites, in units of the cell vectors:
1 Be 0.0000 0.1267 0.6267  -0.01
2 Be 0.0000 0.8733 0.3733  -0.01
3 Be 0.0000 0.6267 0.8733  -0.01
4 Be 0.0000 0.3733 0.1267  -0.01
5 Cr 0.0000 0.6757 0.1757  2.01
6 Cr 0.0000 0.3243 0.8243  2.01
7 Cr 0.0000 0.1757 0.3243  2.01
8 Cr 0.0000 0.8243 0.6757  2.01
9 Si 0.0000 0.0000 0.0000  0.00
10 Si 0.0000 0.5000 0.5000  0.00
11 Ru 0.5000 0.2036 0.0642  -0.42
12 Ru 0.5000 0.7964 0.9358  -0.42
13 Ru 0.5000 0.0642 0.7964  -0.42
14 Ru 0.5000 0.7036 0.4358  -0.42
15 Ru 0.5000 0.9358 0.2036  -0.42
16 Ru 0.5000 0.2964 0.5642  -0.42
17 Ru 0.5000 0.5642 0.7036  -0.42
18 Ru 0.5000 0.4358 0.2964  -0.42
19 Ru 0.5000 0.5000 0.0000  -0.29
20 Ru 0.5000 0.0000 0.5000  -0.29

Values from the calculation:
DFT total energy (hartree per atom): -0.29407
Crystal system: tetragonal
Total magnetization (μB/f.u.): 2.2
Fermi-level density of states (states/eV/cell): 14.53
SG: P4/mbm

***

5.
VASP calculation (PBE) on a relaxed structure of Ta2Be2CrRu5.

Unit cell a=3.0645 b=9.2878 c=9.2878 alpha=90.00 beta=90.00 gamma=90.00
Each line ends with the local moment (μB).
Sites, in units of the cell vectors:
1 Ta 0.0000 0.6747 0.1747  0.00
2 Ta 0.0000 0.3253 0.8253  0.00
3 Ta 0.0000 0.1747 0.3253  0.00
4 Ta 0.0000 0.8253 0.6747  0.00
5 Be 0.0000 0.1232 0.6232  0.00
6 Be 0.0000 0.8768 0.3768  0.00
7 Be 0.0000 0.6232 0.8768  0.00
8 Be 0.0000 0.3768 0.1232  0.00
9 Cr 0.0000 0.0000 0.0000  0.12
10 Cr 0.0000 0.5000 0.5000  0.12
11 Ru 0.5000 0.2053 0.0712  -0.01
12 Ru 0.5000 0.7947 0.9288  -0.01
13 Ru 0.5000 0.0712 0.7947  -0.01
14 Ru 0.5000 0.7053 0.4288  -0.01
15 Ru 0.5000 0.9288 0.2053  -0.01
16 Ru 0.5000 0.2947 0.5712  -0.01
17 Ru 0.5000 0.5712 0.7053  -0.01
18 Ru 0.5000 0.4288 0.2947  -0.01
19 Ru 0.5000 0.5000 0.0000  0.00
20 Ru 0.5000 0.0000 0.5000  0.00

Values from the calculation:
DFT total energy (hartree per atom): -0.33240
Crystal system: tetragonal
Total magnetization (μB/f.u.): 0.1
Fermi-level density of states (states/eV/cell): 8.99
Energy of formation from the pure elements (eV per atom): -0.3290
SG: P4/mbm

***

6.
VASP calculation (PBE) on a relaxed structure of Be2CrTc2Ru5.

Unit cell a=2.9348 b=9.2913 c=9.2913 alpha=90.00 beta=90.00 gamma=90.00
Each line ends with the local moment (μB).
Sites, in units of the cell vectors:
1 Be 0.0000 0.1260 0.6260  0.00
2 Be 0.0000 0.8740 0.3740  0.00
3 Be 0.0000 0.6260 0.8740  0.00
4 Be 0.0000 0.3740 0.1260  0.00
5 Cr 0.0000 0.0000 0.0000  0.81
6 Cr 0.0000 0.5000 0.5000  0.81
7 Tc 0.0000 0.6789 0.1789  0.01
8 Tc 0.0000 0.3211 0.8211  0.01
9 Tc 0.0000 0.1789 0.3211  0.01
10 Tc 0.0000 0.8211 0.6789  0.01
11 Ru 0.5000 0.2042 0.0593  -0.02
12 Ru 0.5000 0.7958 0.9407  -0.02
13 Ru 0.5000 0.0593 0.7958  -0.02
14 Ru 0.5000 0.7042 0.4407  -0.02
15 Ru 0.5000 0.9407 0.2042  -0.02
16 Ru 0.5000 0.2958 0.5593  -0.02
17 Ru 0.5000 0.5593 0.7042  -0.02
18 Ru 0.5000 0.4407 0.2958  -0.02
19 Ru 0.5000 0.5000 0.0000  -0.03
20 Ru 0.5000 0.0000 0.5000  -0.03

Values from the calculation:
DFT total energy (hartree per atom): -0.30917
Crystal system: tetragonal
Total magnetization (μB/f.u.): 0.8
Fermi-level density of states (states/eV/cell): 20.00
Energy of formation from the pure elements (eV per atom): 0.0057
SG: P4/mbm

***

7.
VASP calculation (PBE) on a relaxed structure of BeVCr2Ru.

Unit cell a=4.0544 b=4.0544 c=4.2088 alpha=90.00 beta=90.00 gamma=90.00
Sites, in units of the cell vectors:
1 Ru 0.5000 0.5000 0.5000
2 V 0.0000 0.0000 0.0000
3 Be 0.0000 0.0000 0.5000
4 Cr 0.0000 0.5000 0.0000
5 Cr 0.5000 0.0000 0.0000

Values from the calculation:
DFT total energy (hartree per atom): -0.25482
Crystal system: tetragonal
Total magnetization (μB/f.u.): 0.0
Fermi-level density of states (states/eV/cell): 6.54
Energy of formation from the pure elements (eV per atom): 1.3394
SG: P4/mmm

***

8.
VASP calculation (PBE) on a relaxed structure of Y2BeCrRu.

Unit cell a=5.1759 b=4.0195 c=5.1759 alpha=90.00 beta=90.00 gamma=90.00
Each line ends with the local moment (μB).
Sites, in units of the cell vectors:
1 Y 0.0000 0.0000 0.5000  -0.01
2 Y 0.5000 0.0000 0.0000  -0.03
3 Ru 0.0000 0.5000 0.0000  -0.14
4 Be 0.0000 0.0000 0.0000  0.01
5 Cr 0.5000 0.5000 0.5000  3.65

Values from the calculation:
DFT total energy (hartree per atom): -0.24737
Crystal system: tetragonal
Total magnetization (μB/f.u.): 3.9
Fermi-level density of states (states/eV/cell): 5.04
Energy of formation from the pure elements (eV per atom): 0.3796
SG: P4/mmm

***

9.
VASP calculation (PBE) on a relaxed structure of ZrBeCr2Ru.

Unit cell a=4.5211 b=4.2062 c=4.5211 alpha=90.00 beta=90.00 gamma=90.00
Each line ends with the local moment (μB).
Sites, in units of the cell vectors:
1 Ru 0.0000 0.0000 0.0000  -0.19
2 Be 0.0000 0.5000 0.0000  -0.03
3 Zr 0.5000 0.5000 0.5000  -0.41
4 Cr 0.0000 0.0000 0.5000  2.19
5 Cr 0.5000 0.0000 0.0000  2.39

Values from the calculation:
DFT total energy (hartree per atom): -0.27153
Crystal system: tetragonal
Total magnetization (μB/f.u.): 4.1
Fermi-level density of states (states/eV/cell): 4.96
Energy of formation from the pure elements (eV per atom): 0.7707
SG: P4/mmm

***

10.
VASP calculation (PBE) on a relaxed structure of BeCr3S.

Unit cell a=4.0934 b=4.0934 c=4.0934 alpha=90.00 beta=90.00 gamma=90.00
Sites, in units of the cell vectors:
1 Cr 0.0000 0.5000 0.0000
2 Cr 0.0000 0.0000 0.5000
3 Cr 0.5000 0.0000 0.0000
4 S 0.0000 0.0000 0.0000
5 Be 0.5000 0.5000 0.5000

Values from the calculation:
DFT total energy (hartree per atom): -0.24802
Crystal system: cubic
Total magnetization (μB/f.u.): 0.0
Fermi-level density of states (states/eV/cell): 4.04
SG: Pm-3m

***

11.
VASP calculation (PBE) on a relaxed structure of BeCr2S.

Unit cell a=3.8972 b=3.8972 c=3.8972 alpha=60.00 beta=60.00 gamma=60.00
Each line ends with the local moment (μB).
Sites, in units of the cell vectors:
1 Cr 0.2500 0.2500 0.2500  0.52
2 Cr 0.7500 0.7500 0.7500  0.52
3 S 0.5000 0.5000 0.5000  -0.04
4 Be 0.0000 0.0000 0.0000  -0.03

Values from the calculation:
DFT total energy (hartree per atom): -0.24134
Crystal system: cubic
Total magnetization (μB/f.u.): 1.0
Fermi-level density of states (states/eV/cell): 3.79
SG: Fm-3m